Entry 1:
# Ba11Cd9Au4

An optimized crystal structure of Ba11Cd9Au4 (PBE, Alexandria).

Results
**Magnetization**: 0.0 Bohr magnetons per cell
**Energy**: -2.201 eV/atom
**DOS at the Fermi energy**: 18.67 states/eV/cell

a = 14.6610 Å, b = 14.6610 Å, c = 4.3519 Å
α = 90.00°, β = 90.00°, γ = 112.92°
With the nearest neighbours (Å) after each atom.
Positions (direct):
Ba (0.0000, 0.0000, 0.0000)  8 Cd 3.62, 2 Ba 4.02
Ba (0.0718, 0.4143, 0.0000)  2 Au 3.32, 4 Cd 3.63-3.66
Ba (0.1647, 0.8353, 0.0000)  8 Cd 3.65-3.81, 3 Ba 3.94-4.02
Ba (0.2941, 0.2941, 0.0000)  4 Au 3.37
Ba (0.3678, 0.6322, 0.0000)  4 Au 3.35
Ba (0.4143, 0.0718, 0.0000)  2 Au 3.32, 4 Cd 3.63-3.66
Ba (0.5857, 0.9282, 0.0000)  2 Au 3.32, 4 Cd 3.63-3.66
Ba (0.6322, 0.3678, 0.0000)  4 Au 3.35
Ba (0.7059, 0.7059, 0.0000)  4 Au 3.37
Ba (0.8353, 0.1647, 0.0000)  8 Cd 3.65-3.81, 3 Ba 3.94-4.02
Ba (0.9282, 0.5857, 0.0000)  2 Au 3.32, 4 Cd 3.63-3.66
Cd (0.0627, 0.2127, 0.5000)  1 Au 3.51, 8 Ba 3.62-3.81, 1 Cd 3.66
Cd (0.1578, 0.6324, 0.5000)  1 Cd 3.40, 1 Au 3.48, 6 Ba 3.65-3.77
Cd (0.2127, 0.0627, 0.5000)  1 Au 3.51, 8 Ba 3.62-3.81, 1 Cd 3.66
Cd (0.3676, 0.8422, 0.5000)  1 Cd 3.40, 1 Au 3.48, 6 Ba 3.65-3.77
Cd (0.5000, 0.5000, 0.5000)  4 Au 3.39
Cd (0.6324, 0.1578, 0.5000)  1 Cd 3.40, 1 Au 3.48, 6 Ba 3.65-3.77
Cd (0.7873, 0.9373, 0.5000)  1 Au 3.51, 8 Ba 3.62-3.81, 1 Cd 3.66
Cd (0.8422, 0.3676, 0.5000)  1 Cd 3.40, 1 Au 3.48, 6 Ba 3.65-3.77
Cd (0.9373, 0.7873, 0.5000)  1 Au 3.51, 8 Ba 3.62-3.81, 1 Cd 3.66
Au (0.2538, 0.4499, 0.5000)  6 Ba 3.32-3.37, 3 Cd 3.39-3.51
Au (0.4499, 0.2538, 0.5000)  6 Ba 3.32-3.37, 3 Cd 3.39-3.51
Au (0.5501, 0.7462, 0.5000)  6 Ba 3.32-3.37, 3 Cd 3.39-3.51
Au (0.7462, 0.5501, 0.5000)  6 Ba 3.32-3.37, 3 Cd 3.39-3.51

Entry 2:
# Ce3Co12Si5

An optimized crystal structure of Ce3Co12Si5 (PBE, Alexandria).

Results
**Magnetization**: 10.1 Bohr magnetons per cell
**Energy relative to the elements, uncorrected**: 0.20 eV per atom
**DOS at the Fermi energy**: 89.89 states/eV/cell

a = 12.0482 Å, b = 12.0482 Å, c = 12.0482 Å
α = 109.47°, β = 109.47°, γ = 109.47°
With the nearest neighbours (Å) after each atom.
Positions (direct):
Ce (0.1250, 0.2500, 0.3750)  4 Co 2.70
Ce (0.1250, 0.3750, 0.7500)  4 Co 2.70
Ce (0.2500, 0.3750, 0.1250)  4 Co 2.70
Ce (0.2500, 0.8750, 0.6250)  4 Co 2.70
Ce (0.3750, 0.1250, 0.2500)  4 Co 2.70
Ce (0.3750, 0.7500, 0.1250)  4 Co 2.70
Ce (0.6250, 0.2500, 0.8750)  4 Co 2.70
Ce (0.6250, 0.8750, 0.7500)  4 Co 2.70
Ce (0.7500, 0.1250, 0.3750)  4 Co 2.70
Ce (0.7500, 0.6250, 0.8750)  4 Co 2.70
Ce (0.8750, 0.6250, 0.2500)  4 Co 2.70
Ce (0.8750, 0.7500, 0.6250)  4 Co 2.70
Co (0.0015, 0.6891, 0.0491)  2 Si 2.15-2.20, 1 Co 2.17
Co (0.0015, 0.8123, 0.9524)  2 Si 2.15-2.20, 1 Co 2.17
Co (0.0476, 0.5491, 0.8599)  2 Si 2.15-2.20, 1 Co 2.17
Co (0.0476, 0.9985, 0.1877)  2 Si 2.15-2.20, 1 Co 2.17
Co (0.0491, 0.0015, 0.6891)  2 Si 2.15-2.20, 1 Co 2.17
Co (0.0491, 0.5476, 0.3599)  2 Si 2.15-2.20, 1 Co 2.17
Co (0.1401, 0.6877, 0.6891)  2 Si 2.15-2.20, 1 Co 2.17
Co (0.1401, 0.9524, 0.4509)  2 Si 2.15-2.20, 1 Co 2.17
Co (0.1877, 0.0476, 0.9985)  2 Si 2.15-2.20, 1 Co 2.17
Co (0.1877, 0.6401, 0.1891)  2 Si 2.15-2.20, 1 Co 2.17
Co (0.1891, 0.1877, 0.6401)  2 Si 2.15-2.20, 1 Co 2.17
Co (0.1891, 0.5015, 0.5491)  2 Si 2.15-2.20, 1 Co 2.17
Co (0.3109, 0.8599, 0.3123)  2 Si 2.15-2.20, 1 Co 2.17
Co (0.3109, 0.9509, 0.9985)  2 Si 2.15-2.20, 1 Co 2.17
Co (0.3123, 0.3109, 0.8599)  2 Si 2.15-2.20, 1 Co 2.17
Co (0.3123, 0.5015, 0.4524)  2 Si 2.15-2.20, 1 Co 2.17
Co (0.3599, 0.0491, 0.5476)  2 Si 2.15-2.20, 1 Co 2.17
Co (0.3599, 0.8109, 0.8123)  2 Si 2.15-2.20, 1 Co 2.17
Co (0.4509, 0.1401, 0.9524)  2 Si 2.15-2.20, 1 Co 2.17
Co (0.4509, 0.8109, 0.4985)  2 Si 2.15-2.20, 1 Co 2.17
Co (0.4524, 0.3123, 0.5015)  2 Si 2.15-2.20, 1 Co 2.17
Co (0.4524, 0.6401, 0.9509)  2 Si 2.15-2.20, 1 Co 2.17
Co (0.4985, 0.4509, 0.8109)  2 Si 2.15-2.20, 1 Co 2.17
Co (0.4985, 0.5476, 0.6877)  2 Si 2.15-2.20, 1 Co 2.17
Co (0.5015, 0.4524, 0.3123)  2 Si 2.15-2.20, 1 Co 2.17
Co (0.5015, 0.5491, 0.1891)  2 Si 2.15-2.20, 1 Co 2.17
Co (0.5476, 0.3599, 0.0491)  2 Si 2.15-2.20, 1 Co 2.17
Co (0.5476, 0.6877, 0.4985)  2 Si 2.15-2.20, 1 Co 2.17
Co (0.5491, 0.1891, 0.5015)  2 Si 2.15-2.20, 1 Co 2.17
Co (0.5491, 0.8599, 0.0476)  2 Si 2.15-2.20, 1 Co 2.17
Co (0.6401, 0.1891, 0.1877)  2 Si 2.15-2.20, 1 Co 2.17
Co (0.6401, 0.9509, 0.4524)  2 Si 2.15-2.20, 1 Co 2.17
Co (0.6877, 0.4985, 0.5476)  2 Si 2.15-2.20, 1 Co 2.17
Co (0.6877, 0.6891, 0.1401)  2 Si 2.15-2.20, 1 Co 2.17
Co (0.6891, 0.0491, 0.0015)  2 Si 2.15-2.20, 1 Co 2.17
Co (0.6891, 0.1401, 0.6877)  2 Si 2.15-2.20, 1 Co 2.17
Co (0.8109, 0.4985, 0.4509)  2 Si 2.15-2.20, 1 Co 2.17
Co (0.8109, 0.8123, 0.3599)  2 Si 2.15-2.20, 1 Co 2.17
Co (0.8123, 0.3599, 0.8109)  2 Si 2.15-2.20, 1 Co 2.17
Co (0.8123, 0.9524, 0.0015)  2 Si 2.15-2.20, 1 Co 2.17
Co (0.8599, 0.0476, 0.5491)  2 Si 2.15-2.20, 1 Co 2.17
Co (0.8599, 0.3123, 0.3109)  2 Si 2.15-2.20, 1 Co 2.17
Co (0.9509, 0.4524, 0.6401)  2 Si 2.15-2.20, 1 Co 2.17
Co (0.9509, 0.9985, 0.3109)  2 Si 2.15-2.20, 1 Co 2.17
Co (0.9524, 0.0015, 0.8123)  2 Si 2.15-2.20, 1 Co 2.17
Co (0.9524, 0.4509, 0.1401)  2 Si 2.15-2.20, 1 Co 2.17
Co (0.9985, 0.1877, 0.0476)  2 Si 2.15-2.20, 1 Co 2.17
Co (0.9985, 0.3109, 0.9509)  2 Si 2.15-2.20, 1 Co 2.17
Si (0.0000, 0.0000, 0.0000)  6 Co 2.15
Si (0.0000, 0.0000, 0.5000)  6 Co 2.15
Si (0.0000, 0.5000, 0.0000)  6 Co 2.15
Si (0.0000, 0.5000, 0.5000)  6 Co 2.15
Si (0.1250, 0.7500, 0.8750)  4 Co 2.20
Si (0.1250, 0.8750, 0.2500)  4 Co 2.20
Si (0.2500, 0.1250, 0.8750)  4 Co 2.20
Si (0.2500, 0.6250, 0.3750)  4 Co 2.20
Si (0.3750, 0.2500, 0.6250)  4 Co 2.20
Si (0.3750, 0.6250, 0.7500)  4 Co 2.20
Si (0.5000, 0.0000, 0.0000)  6 Co 2.15
Si (0.5000, 0.0000, 0.5000)  6 Co 2.15
Si (0.5000, 0.5000, 0.0000)  6 Co 2.15
Si (0.5000, 0.5000, 0.5000)  6 Co 2.15
Si (0.6250, 0.3750, 0.2500)  4 Co 2.20
Si (0.6250, 0.7500, 0.3750)  4 Co 2.20
Si (0.7500, 0.3750, 0.6250)  4 Co 2.20
Si (0.7500, 0.8750, 0.1250)  4 Co 2.20
Si (0.8750, 0.1250, 0.7500)  4 Co 2.20
Si (0.8750, 0.2500, 0.1250)  4 Co 2.20

Question: The lowest DOS at the Fermi energy belongs to which entry?
Answer: Ba11Cd9Au4